Computed, not measured: an optimized crystal structure of Tb4Nd3Dy5 at the PBE-GGA level of DFT.

Polymorph energy (0 for the lowest one) in meV per atom: 214
ΔH_f (0 K) in meV/atom: 229

Unit cell a=8.561 b=8.561 c=9.301 alpha=114.36 beta=114.36 gamma=40.61
Fractional coordinates of all 12 atoms:
Tb (0.082, 0.082, 0.442)
Tb (0.210, 0.210, 0.877)
Tb (0.790, 0.790, 0.123)
Tb (0.918, 0.918, 0.558)
Nd (0.208, 0.208, 0.230)
Nd (0.500, 0.500, 0.000)
Nd (0.792, 0.792, 0.770)
Dy (0.000, 0.000, 0.000)
Dy (0.328, 0.328, 0.612)
Dy (0.427, 0.427, 0.303)
Dy (0.573, 0.573, 0.697)
Dy (0.672, 0.672, 0.388)

***

Computed, not measured: an optimized crystal structure of Li3Pm3Ge8 at the PBE-GGA level of DFT.

ΔH_f (0 K) in meV/atom: -434

Unit cell a=9.131 b=9.131 c=9.131 alpha=154.96 beta=115.52 gamma=70.31
Fractional coordinates of all 14 atoms:
Li (0.000, 0.000, 0.000)
Li (0.210, 0.500, 0.710)
Li (0.790, 0.500, 0.290)
Pm (0.213, 0.713, 0.500)
Pm (0.500, 0.000, 0.500)
Pm (0.787, 0.287, 0.500)
Ge (0.081, 0.880, 0.201)
Ge (0.213, 0.352, 0.861)
Ge (0.321, 0.120, 0.201)
Ge (0.491, 0.352, 0.139)
Ge (0.509, 0.648, 0.861)
Ge (0.679, 0.880, 0.799)
Ge (0.787, 0.648, 0.139)
Ge (0.919, 0.120, 0.799)

***

Computed, not measured: an optimized crystal structure of Na2Er2GeO6 at the PBE-GGA level of DFT.

Formation energy from raw total energies in eV/atom: -2.465

Unit cell a=5.632 b=5.632 c=5.858 alpha=97.24 beta=97.24 gamma=119.77
Fractional coordinates of all 11 atoms:
Na (0.149, 0.851, 0.000)
Na (0.851, 0.149, 0.000)
Er (0.335, 0.665, 0.500)
Er (0.665, 0.335, 0.500)
Ge (0.000, 0.000, 0.500)
O (0.044, 0.349, 0.689)
O (0.234, 0.234, 0.311)
O (0.349, 0.044, 0.689)
O (0.651, 0.956, 0.311)
O (0.766, 0.766, 0.689)
O (0.956, 0.651, 0.311)

***

no.,VASP energy (eV per atom)
1,-4.42
2,-4.50
3,-6.66